Entry from Alexandria: Er11Co4Hg9 after structural relaxation (GGA-PBE).

For the density of states at the Fermi level, the calculation gives 18.7 states/eV/cell. For the total energy, the calculation gives -3.7903 eV/atom.

Cell: 3.5844 12.7459 12.7459 Å, 112.42 90.00 90.00°
Fractional positions:
Hg 0.5000 0.2167 0.0687
Er 0.0000 0.4189 0.0899
Hg 0.5000 0.5000 0.5000
Er 0.0000 0.3697 0.6303
Er 0.0000 0.8354 0.1646
Co 0.5000 0.7385 0.5463
Hg 0.5000 0.0687 0.2167
Er 0.0000 0.5811 0.9101
Er 0.0000 0.0000 0.0000
Hg 0.5000 0.7833 0.9313
Hg 0.5000 0.9313 0.7833
Hg 0.5000 0.8497 0.3701
Hg 0.5000 0.1503 0.6299
Hg 0.5000 0.3701 0.8497
Er 0.0000 0.6303 0.3697
Hg 0.5000 0.6299 0.1503
Er 0.0000 0.6952 0.6952
Er 0.0000 0.0899 0.4189
Co 0.5000 0.2615 0.4537
Co 0.5000 0.5463 0.7385
Er 0.0000 0.1646 0.8354
Co 0.5000 0.4537 0.2615
Er 0.0000 0.9101 0.5811
Er 0.0000 0.3048 0.3048

Entry from Alexandria: K2HgHPt after structural relaxation (GGA-PBE).

For the density of states at the Fermi level, the calculation gives 1.3 states/eV/cell. The value obtained for the energy above the most stable polymorph in this dataset is 0 meV per atom.

Cell: 5.9941 5.9941 3.4895 Å, 90.00 90.00 90.00°
Fractional positions:
H 0.0000 0.0000 0.0000
Hg 0.5000 0.5000 0.5000
K 0.5000 0.0000 0.0000
Pt 0.0000 0.0000 0.5000
K 0.0000 0.5000 0.0000

Entry from Alexandria: LaPuTh2N4 after structural relaxation (GGA-PBE).

As for the formation energy from raw total energies: -1425 meV/atom. For the density of states at the Fermi level, the calculation gives 8.6 states/eV/cell.

Cell: 3.6635 6.3434 6.3126 Å, 109.81 90.00 90.00°
Fractional positions:
Th 0.5000 0.0000 0.5000
N 0.0000 0.7595 0.2676
N 0.5000 0.2434 0.2551
Pu 0.0000 0.0000 0.0000
N 0.5000 0.7566 0.7449
La 0.5000 0.5000 0.0000
N 0.0000 0.2405 0.7324
Th 0.0000 0.5000 0.5000

Entry from Alexandria: In3BiPb3 after structural relaxation (GGA-PBE).

For the density of states at the Fermi level, the calculation gives 12.2 states/eV/cell. The value obtained for the energy above the most stable polymorph in this dataset is 535 meV per atom.

Cell: 8.2828 8.2828 8.2828 Å, 90.00 90.00 90.00°
Fractional positions:
Pb 0.0000 0.2500 0.5000
In 0.5000 0.2500 0.0000
Pb 0.2500 0.5000 0.0000
Bi 0.5000 0.5000 0.5000
Bi 0.0000 0.0000 0.0000
Pb 0.5000 0.0000 0.2500
Pb 0.0000 0.7500 0.5000
In 0.5000 0.7500 0.0000
In 0.0000 0.5000 0.2500
In 0.0000 0.5000 0.7500
Pb 0.5000 0.0000 0.7500
In 0.7500 0.0000 0.5000
Pb 0.7500 0.5000 0.0000
In 0.2500 0.0000 0.5000

Entry from Alexandria: HoZnInIr after structural relaxation (GGA-PBE).

For the density of states at the Fermi level, the calculation gives 1.8 states/eV/cell. For the total energy, the calculation gives -4.7662 eV/atom.

Cell: 4.7687 4.7687 4.7687 Å, 60.00 60.00 60.00°
Fractional positions:
Zn 0.0000 0.0000 0.0000
Ir 0.5000 0.5000 0.5000
Ho 0.7500 0.7500 0.7500
In 0.2500 0.2500 0.2500

Entry from Alexandria: ErZn6CuNi after structural relaxation (GGA-PBE).

For the density of states at the Fermi level, the calculation gives 8.5 states/eV/cell. For the total energy, the calculation gives -2.4690 eV/atom.

Cell: 8.4393 6.9280 7.5714 Å, 117.23 123.87 90.00°
Fractional positions:
Zn 0.8764 0.1802 0.2466
Zn 0.3701 0.1802 0.2466
Cu 0.5000 0.5000 0.0000
Zn 0.7470 0.4970 0.4941
Zn 0.1236 0.4336 0.7534
Er 0.0607 0.8107 0.1214
Zn 0.2530 0.5030 0.5059
Zn 0.6299 0.4336 0.7534
Zn 0.8764 0.5664 0.2466
Zn 0.3431 0.0931 0.6862
Zn 0.1236 0.8198 0.7534
Zn 0.6569 0.9069 0.3138
Ni 0.0000 0.0000 0.5000
Cu 0.5000 0.0000 0.0000
Zn 0.6299 0.8198 0.7534
Er 0.9393 0.1893 0.8786
Zn 0.3701 0.5664 0.2466
Ni 0.5000 0.0000 0.5000